Here is a relaxed SiBr2 crystal from the Alexandria database. Energies are from GGA-PBEsol.

```
6
Lattice="-3.278 3.278 3.251 3.278 -3.278 3.251 3.278 3.278 -3.251" Properties=species:S:1:pos:R:3 pbc="T T T"
Si 0.000 0.000 1.625
Si 0.000 0.000 4.876
Br 4.480 1.202 0.000
Br 1.202 2.076 0.000
Br 2.076 1.202 3.251
Br -1.202 2.076 3.251
```

The size of the total moment is 0.00 μB per cell. For the formation energy without anion corrections, the calculation gives -0.18 eV per formula unit. The space group is I4/mcm. The density is 4.466 g cm⁻³.

=====

Here is a relaxed AsIrO2 crystal from the Alexandria database. Energies are from GGA-PBEsol.

```
8
Lattice="-1.900 1.900 6.576 1.900 -1.900 6.576 1.900 1.900 -6.576" Properties=species:S:1:pos:R:3 pbc="T T T"
As 0.000 0.000 0.000
As 0.000 1.900 3.288
Ir 1.900 0.000 3.288
Ir 0.000 0.000 6.576
O 0.950 -0.866 4.932
O 1.034 0.950 1.644
O 0.950 2.766 -1.644
O 0.866 0.950 8.220
```

The size of the total moment is 0.00 μB per cell. For the formation energy without anion corrections, the calculation gives -0.10 eV per formula unit. The space group is I-42d. The density is 10.460 g cm⁻³.